First-principles (GGA-PBE) data for Tb2BeCu3Ni12 after structural relaxation, as listed in Alexandria via LeMat-Bulk. Values from VASP.

Values from the calculation:
E = -91.56 eV for the cell shown
Space group = R-3m
Crystal system = trigonal
E_form = 16.6 kJ per mole of atoms

Structure (Quantum ESPRESSO input):
```
&SYSTEM
  ibrav = 0, nat = 18, ntyp = 4
/
ATOMIC_SPECIES
Tb 158.93 Tb.upf
Be 9.01 Be.upf
Cu 63.55 Cu.upf
Ni 58.69 Ni.upf
CELL_PARAMETERS angstrom
3.000 1.732 8.044
-3.000 1.732 8.044
0.000 -3.464 8.044
ATOMIC_POSITIONS crystal
Tb 0.156 0.156 0.156
Tb 0.844 0.844 0.844
Be 0.500 0.500 0.500
Cu 0.000 0.500 0.500
Cu 0.500 0.000 0.500
Cu 0.500 0.500 0.000
Ni 0.076 0.076 0.686
Ni 0.076 0.686 0.076
Ni 0.161 0.570 0.570
Ni 0.314 0.924 0.924
Ni 0.430 0.430 0.839
Ni 0.430 0.839 0.430
Ni 0.570 0.161 0.570
Ni 0.570 0.570 0.161
Ni 0.686 0.076 0.076
Ni 0.839 0.430 0.430
Ni 0.924 0.314 0.924
Ni 0.924 0.924 0.314
```



First-principles (GGA-PBE) data for BaMn2Ir after structural relaxation, as listed in Alexandria via LeMat-Bulk. Values from VASP.

Values from the calculation:
E = -27.51 eV for the cell shown
Space group = Pm
Crystal system = monoclinic
E_form = 38.9 kJ per mole of atoms

Structure (Quantum ESPRESSO input):
```
&SYSTEM
  ibrav = 0, nat = 4, ntyp = 3
/
ATOMIC_SPECIES
Ba 137.33 Ba.upf
Mn 54.94 Mn.upf
Ir 192.22 Ir.upf
CELL_PARAMETERS angstrom
4.024 0.000 0.000
0.000 4.120 0.000
-0.466 0.000 6.291
ATOMIC_POSITIONS crystal
Ba 0.000 0.000 0.000
Mn 0.052 0.500 0.493
Mn 0.545 0.000 0.484
Ir 0.526 0.500 0.256
```



First-principles (GGA-PBE) data for PrNd2Cd8 after structural relaxation, as listed in Alexandria via LeMat-Bulk. Values from VASP.

Values from the calculation:
E = -24.82 eV for the cell shown
Space group = C2/m
Crystal system = monoclinic
E_form = -27.9 kJ per mole of atoms

Structure (Quantum ESPRESSO input):
```
&SYSTEM
  ibrav = 0, nat = 11, ntyp = 3
/
ATOMIC_SPECIES
Pr 140.91 Pr.upf
Nd 144.24 Nd.upf
Cd 112.41 Cd.upf
CELL_PARAMETERS angstrom
4.226 -8.062 0.000
4.226 8.062 0.000
-3.417 0.000 4.162
ATOMIC_POSITIONS crystal
Pr 0.000 0.000 0.000
Nd 0.309 0.691 0.500
Nd 0.691 0.309 0.500
Cd 0.102 0.355 0.731
Cd 0.201 0.799 0.000
Cd 0.355 0.102 0.731
Cd 0.497 0.497 0.745
Cd 0.503 0.503 0.255
Cd 0.645 0.898 0.269
Cd 0.799 0.201 0.000
Cd 0.898 0.645 0.269
```



First-principles (GGA-PBE) data for TbCe2PdRh5 after structural relaxation, as listed in Alexandria via LeMat-Bulk. Values from VASP.

Values from the calculation:
E = -124.07 eV for the cell shown
Space group = I4/mcm
Crystal system = tetragonal
E_form = -38.5 kJ per mole of atoms

Structure (Quantum ESPRESSO input):
```
&SYSTEM
  ibrav = 0, nat = 18, ntyp = 4
/
ATOMIC_SPECIES
Tb 158.93 Tb.upf
Ce 140.12 Ce.upf
Pd 106.42 Pd.upf
Rh 102.91 Rh.upf
CELL_PARAMETERS angstrom
-4.043 4.043 5.492
4.043 -4.043 5.492
4.043 4.043 -5.492
ATOMIC_POSITIONS crystal
Tb 0.250 0.250 0.000
Tb 0.750 0.750 0.000
Ce 0.138 0.638 0.777
Ce 0.362 0.138 0.500
Ce 0.638 0.862 0.500
Ce 0.862 0.362 0.223
Pd 0.250 0.750 0.500
Pd 0.750 0.250 0.500
Rh 0.000 0.000 0.000
Rh 0.064 0.163 0.500
Rh 0.163 0.663 0.098
Rh 0.337 0.436 0.500
Rh 0.436 0.936 0.098
Rh 0.500 0.500 0.000
Rh 0.564 0.064 0.902
Rh 0.663 0.564 0.500
Rh 0.837 0.337 0.902
Rh 0.936 0.837 0.500
```



First-principles (GGA-PBE) data for CsAg2TeI8 after structural relaxation, as listed in Alexandria via LeMat-Bulk. Values from VASP.

Values from the calculation:
Formation energy (no corrections) = -392 kJ/mol of formula units
E = -26.16 eV for the cell shown
Space group = P-1
Crystal system = triclinic

Structure (Quantum ESPRESSO input):
```
&SYSTEM
  ibrav = 0, nat = 12, ntyp = 4
/
ATOMIC_SPECIES
Cs 132.91 Cs.upf
Ag 107.87 Ag.upf
Te 127.60 Te.upf
I 126.90 I.upf
CELL_PARAMETERS angstrom
6.801 0.000 0.000
0.660 7.686 0.000
2.959 0.711 9.974
ATOMIC_POSITIONS crystal
Cs 0.000 0.000 0.000
Ag 0.173 0.582 0.298
Ag 0.827 0.418 0.702
Te 0.500 0.000 0.500
I 0.165 0.802 0.671
I 0.236 0.344 0.519
I 0.239 0.501 0.029
I 0.410 0.889 0.253
I 0.590 0.111 0.747
I 0.761 0.499 0.971
I 0.764 0.656 0.481
I 0.835 0.198 0.329
```